[1]
# GGA-PBE InW2N, optimized geometry
data_InW2N
_symmetry_space_group_name_H-M 'I -4 2 d'
_symmetry_Int_Tables_number 122
_symmetry_space_group_name_Hall 'I -4 2bw'
_cell_length_a 5.172
_cell_length_b 5.172
_cell_length_c 11.459
_cell_angle_alpha 90.00
_cell_angle_beta 90.00
_cell_angle_gamma 90.00
loop_
_atom_site_label
_atom_site_type_symbol
_atom_site_fract_x
_atom_site_fract_y
_atom_site_fract_z
In1 In 0.000 0.000 0.000
W1 W 0.087 0.250 0.625
N1 N 0.000 0.000 0.500
# Total DFT energy (no corrections) in eV per formula unit: -33.73
# Distance to the lowest polymorph of the same formula in meV per atom: 0.0
# Formation energy without anion corrections in eV per formula unit: 3.2

[2]
# GGA-PBE In3WN, optimized geometry
data_In3WN
_symmetry_space_group_name_H-M 'P m -3 m'
_symmetry_Int_Tables_number 221
_symmetry_space_group_name_Hall '-P 4 2 3'
_cell_length_a 4.541
_cell_length_b 4.541
_cell_length_c 4.541
_cell_angle_alpha 90.00
_cell_angle_beta 90.00
_cell_angle_gamma 90.00
loop_
_atom_site_label
_atom_site_type_symbol
_atom_site_fract_x
_atom_site_fract_y
_atom_site_fract_z
In1 In 0.000 0.000 0.500
W1 W 0.500 0.500 0.500
N1 N 0.000 0.000 0.000
# Total DFT energy (no corrections) in eV per formula unit: -23.87
# Distance to the lowest polymorph of the same formula in meV per atom: 0.0
# Formation energy without anion corrections in eV per formula unit: 5.6

[3]
# GGA-PBE Zn2InWN4, optimized geometry
data_Zn2InWN4
_symmetry_space_group_name_H-M 'I -4 2 m'
_symmetry_Int_Tables_number 121
_symmetry_space_group_name_Hall 'I -4 2'
_cell_length_a 4.958
_cell_length_b 4.958
_cell_length_c 8.982
_cell_angle_alpha 90.00
_cell_angle_beta 90.00
_cell_angle_gamma 90.00
loop_
_atom_site_label
_atom_site_type_symbol
_atom_site_fract_x
_atom_site_fract_y
_atom_site_fract_z
Zn1 Zn 0.000 0.500 0.250
In1 In 0.000 0.000 0.000
W1 W 0.000 0.000 0.500
N1 N 0.221 0.221 0.624
# Total DFT energy (no corrections) in eV per formula unit: -52.23
# Formation energy without anion corrections in eV per formula unit: -0.7

[4]
# GGA-PBE Y2InN, optimized geometry
data_Y2InN
_symmetry_space_group_name_H-M 'I -4 2 d'
_symmetry_Int_Tables_number 122
_symmetry_space_group_name_Hall 'I -4 2bw'
_cell_length_a 6.957
_cell_length_b 6.957
_cell_length_c 8.111
_cell_angle_alpha 90.00
_cell_angle_beta 90.00
_cell_angle_gamma 90.00
loop_
_atom_site_label
_atom_site_type_symbol
_atom_site_fract_x
_atom_site_fract_y
_atom_site_fract_z
Y1 Y 0.144 0.250 0.125
In1 In 0.000 0.000 0.500
N1 N 0.000 0.000 0.000
# Total DFT energy (no corrections) in eV per formula unit: -27.14
# Formation energy without anion corrections in eV per formula unit: -3.1

[5]
# GGA-PBE YInN2, optimized geometry
data_YInN2
_symmetry_space_group_name_H-M 'I -4 2 d'
_symmetry_Int_Tables_number 122
_symmetry_space_group_name_Hall 'I -4 2bw'
_cell_length_a 5.163
_cell_length_b 5.163
_cell_length_c 10.389
_cell_angle_alpha 90.00
_cell_angle_beta 90.00
_cell_angle_gamma 90.00
loop_
_atom_site_label
_atom_site_type_symbol
_atom_site_fract_x
_atom_site_fract_y
_atom_site_fract_z
Y1 Y 0.000 0.000 0.000
In1 In 0.000 0.000 0.500
N1 N 0.240 0.250 0.625
# Total DFT energy (no corrections) in eV per formula unit: -28.46
# Formation energy without anion corrections in eV per formula unit: -2.6

[6]
# GGA-PBE Y4In2N, optimized geometry
data_Y4In2N
_symmetry_space_group_name_H-M 'I 4/m m m'
_symmetry_Int_Tables_number 139
_symmetry_space_group_name_Hall '-I 4 2'
_cell_length_a 4.751
_cell_length_b 4.751
_cell_length_c 15.935
_cell_angle_alpha 90.00
_cell_angle_beta 90.00
_cell_angle_gamma 90.00
loop_
_atom_site_label
_atom_site_type_symbol
_atom_site_fract_x
_atom_site_fract_y
_atom_site_fract_z
Y1 Y 0.000 0.000 0.163
Y2 Y 0.000 0.500 0.000
In1 In 0.000 0.000 0.362
N1 N 0.000 0.000 0.000
# Total DFT energy (no corrections) in eV per formula unit: -45.01
# Formation energy without anion corrections in eV per formula unit: -5.3

[7]
# GGA-PBE YInN2, optimized geometry
data_YInN2
_symmetry_space_group_name_H-M 'R -3 m'
_symmetry_Int_Tables_number 166
_symmetry_space_group_name_Hall '-R 3 2"'
_cell_length_a 3.6979
_cell_length_b 3.6979
_cell_length_c 18.6436
_cell_angle_alpha 90.00
_cell_angle_beta 90.00
_cell_angle_gamma 120.00
loop_
_atom_site_label
_atom_site_type_symbol
_atom_site_fract_x
_atom_site_fract_y
_atom_site_fract_z
Y1 Y 0.0000 0.0000 0.0000
In1 In 0.0000 0.0000 0.5000
N1 N 0.0000 0.0000 0.3943
# Total DFT energy (no corrections) in eV per formula unit: -27.63
# Formation energy without anion corrections in eV per formula unit: -1.8

[8]
# GGA-PBE YIn3N, optimized geometry
data_YIn3N
_symmetry_space_group_name_H-M 'P m -3 m'
_symmetry_Int_Tables_number 221
_symmetry_space_group_name_Hall '-P 4 2 3'
_cell_length_a 5.872
_cell_length_b 5.872
_cell_length_c 5.872
_cell_angle_alpha 90.00
_cell_angle_beta 90.00
_cell_angle_gamma 90.00
loop_
_atom_site_label
_atom_site_type_symbol
_atom_site_fract_x
_atom_site_fract_y
_atom_site_fract_z
Y1 Y 0.000 0.000 0.000
In1 In 0.000 0.000 0.500
N1 N 0.500 0.500 0.500
# Total DFT energy (no corrections) in eV per formula unit: -14.07
# Distance to the lowest polymorph of the same formula in meV per atom: 1464.4
# Formation energy without anion corrections in eV per formula unit: 8.9

| no. | total magnetization (μB per atom) |
| --- | --- |
| 1 | 0.000 |
| 2 | 0.000 |
| 3 | 0.000 |
| 4 | 0.000 |
| 5 | 0.000 |
| 6 | 0.000 |
| 7 | 0.000 |
| 8 | 0.000 |